Entry 1:
Below is a relaxed NbVC2 crystal, with properties calculated at the PBE level.

Cell lengths 3.0808, 3.0808, 14.9850 Å; angles 90.00, 90.00, 120.00 degrees
Space group R-3m (No. 166, hexagonal axes)
Inequivalent atoms, fractional coordinates:
Nb 0.0000 0.0000 0.0000 (multiplicity 3)
V 0.0000 0.0000 0.5000 (multiplicity 3)
C 0.0000 0.0000 0.2445 (multiplicity 6)

Output
formation energy from the elements	-0.4074	eV/atom

---

Entry 2:
Below is a relaxed NbVC2 crystal, with properties calculated at the PBE level.

Cell lengths 5.4202, 5.4202, 5.4202 Å; angles 90.00, 90.00, 90.00 degrees
Space group Fm-3m (No. 225)
Inequivalent atoms, fractional coordinates:
Nb 0.0000 0.0000 0.0000 (multiplicity 4)
V 0.0000 0.0000 0.5000 (multiplicity 4)
C 0.2500 0.2500 0.2500 (multiplicity 8)

Output
formation energy from the elements	0.4649	eV/atom

---

Entry 3:
Below is a relaxed NbVC2 crystal, with properties calculated at the PBE level.

Cell lengths 4.6813, 4.6813, 9.4224 Å; angles 90.00, 90.00, 90.00 degrees
Space group I-42d (No. 122)
Inequivalent atoms, fractional coordinates:
Nb 0.0000 0.0000 0.0000 (multiplicity 4)
V 0.0000 0.0000 0.5000 (multiplicity 4)
C 0.2275 0.2500 0.6250 (multiplicity 8)

Output
formation energy from the elements	0.1341	eV/atom